No. 1
A plane-wave DFT calculation with PBE was carried out for an optimized crystal structure of HfNCl2.

Calculated values
symmetry: I-42d (122)
crystal system: tetragonal

Cell lengths 9.5541, 9.5541, 7.0565 Å; angles 47.39, 47.39, 90.00 degrees
Last column: magnetic moment on the atom in μB.
Fractional coordinates of all 8 atoms:
N (0.5000, 0.5000, 0.0000)  0.57
N (0.2500, 0.7500, 0.5000)  0.57
Hf (0.0000, 0.0000, 0.0000)  0.02
Hf (0.7500, 0.2500, 0.5000)  0.02
Cl (0.7889, 0.1250, 0.2500)  0.08
Cl (0.9611, 0.6250, 0.2500)  0.08
Cl (0.3750, 0.2111, 0.7500)  0.07
Cl (0.8750, 0.0389, 0.7500)  0.06

No. 2
A plane-wave DFT calculation with PBE was carried out for an optimized crystal structure of HfNCl.

Calculated values
symmetry: Pmn2_1 (31)
crystal system: orthorhombic

Cell lengths 3.4000, 5.8385, 5.4654 Å; angles 90.00, 90.00, 90.00 degrees
Fractional coordinates of all 6 atoms:
Hf (0.5000, 0.6427, 0.0027)
Hf (0.0000, 0.3573, 0.5027)
Cl (0.0000, 0.9455, 0.1805)
Cl (0.5000, 0.0545, 0.6805)
N (0.0000, 0.5390, 0.8187)
N (0.5000, 0.4610, 0.3187)

No. 3
A plane-wave DFT calculation with PBE was carried out for an optimized crystal structure of HfN3Cl.

Calculated values
symmetry: Pm-3m (221)
crystal system: cubic

Cell lengths 3.6951, 3.6951, 3.6951 Å; angles 90.00, 90.00, 90.00 degrees
Fractional coordinates of all 5 atoms:
N (0.0000, 0.5000, 0.0000)
N (0.0000, 0.0000, 0.5000)
N (0.5000, 0.0000, 0.0000)
Hf (0.5000, 0.5000, 0.5000)
Cl (0.0000, 0.0000, 0.0000)

No. 4
A plane-wave DFT calculation with PBE was carried out for an optimized crystal structure of HfNCl2.

Calculated values
symmetry: Fm-3m (225)
crystal system: cubic

Cell lengths 4.3900, 4.3900, 4.3900 Å; angles 60.00, 60.00, 60.00 degrees
Last column: magnetic moment on the atom in μB.
Fractional coordinates of all 4 atoms:
N (0.0000, 0.0000, 0.0000)  0.90
Hf (0.5000, 0.5000, 0.5000)  -0.32
Cl (0.2500, 0.2500, 0.2500)  0.07
Cl (0.7500, 0.7500, 0.7500)  0.07

No. 5
A plane-wave DFT calculation with PBE was carried out for an optimized crystal structure of Hf2NCl2.

Calculated values
symmetry: I4/mmm (139)
crystal system: tetragonal

Cell lengths 4.6179, 4.6179, 5.3048 Å; angles 64.20, 64.20, 90.00 degrees
Fractional coordinates of all 5 atoms:
N (0.0000, 0.0000, 0.0000)
Hf (0.7500, 0.2500, 0.5000)
Hf (0.2500, 0.7500, 0.5000)
Cl (0.3482, 0.3482, 0.3036)
Cl (0.6518, 0.6518, 0.6964)

No. 6
A plane-wave DFT calculation with PBE was carried out for an optimized crystal structure of Hf2NCl.

Calculated values
symmetry: Fm-3m (225)
crystal system: cubic

Cell lengths 4.2882, 4.2882, 4.2882 Å; angles 60.00, 60.00, 60.00 degrees
Fractional coordinates of all 4 atoms:
N (0.0000, 0.0000, 0.0000)
Hf (0.2500, 0.2500, 0.2500)
Hf (0.7500, 0.7500, 0.7500)
Cl (0.5000, 0.5000, 0.5000)

No. 7
A plane-wave DFT calculation with PBE was carried out for an optimized crystal structure of Hf2NCl.

Calculated values
symmetry: I-42d (122)
crystal system: tetragonal

Cell lengths 5.4076, 5.4076, 6.5478 Å; angles 65.61, 65.61, 90.00 degrees
Fractional coordinates of all 8 atoms:
N (0.5000, 0.5000, 0.0000)
N (0.2500, 0.7500, 0.5000)
Hf (0.5393, 0.1250, 0.2500)
Hf (0.2107, 0.6250, 0.2500)
Hf (0.3750, 0.4607, 0.7500)
Hf (0.8750, 0.7893, 0.7500)
Cl (0.0000, 0.0000, 0.0000)
Cl (0.7500, 0.2500, 0.5000)

No. 8
A plane-wave DFT calculation with PBE was carried out for an optimized crystal structure of HfN3Cl.

Calculated values
symmetry: Pm-3m (221)
crystal system: cubic

Cell lengths 4.2357, 4.2357, 4.2357 Å; angles 90.00, 90.00, 90.00 degrees
Fractional coordinates of all 5 atoms:
N (0.0000, 0.5000, 0.0000)
N (0.0000, 0.0000, 0.5000)
N (0.5000, 0.0000, 0.0000)
Hf (0.0000, 0.0000, 0.0000)
Cl (0.5000, 0.5000, 0.5000)

| no. | DFT total energy (eV/atom) | magnetization (μB per atom) |
| --- | --- | --- |
| 1 | -6.3423 | 0.250 |
| 2 | -8.3839 | 0.000 |
| 3 | -5.8986 | 0.000 |
| 4 | -5.2351 | 0.250 |
| 5 | -6.0510 | 0.000 |
| 6 | -7.7242 | 0.000 |
| 7 | -8.2657 | 0.000 |
| 8 | -6.1251 | 0.000 |